[1]
First-principles (PBE) data for AlNiW after structural relaxation, as listed in the Alexandria database.

Output
**Excess energy over the best structure of this formula in the dataset**: 188 meV/atom
**Magnetization**: 0.00 μB/cell
**ΔH_f (0 K)**: -0.03 eV/atom
**Uncorrected energy**: -7.52 eV per atom

Structure (POSCAR):
```
AlNiW
1.0
2.761 0.000 0.000
-1.381 2.391 0.000
0.000 0.000 6.407
W Ni Al
1 1 1
Direct
0.333 0.667 0.655
0.667 0.333 0.326
0.000 0.000 0.019
```

---

[2]
First-principles (PBE) data for CsTe2IrN after structural relaxation, as listed in the Alexandria database.

Output
**Excess energy over the best structure of this formula in the dataset**: 2497 meV/atom
**Magnetization**: 1.35 μB/cell
**Energy relative to the elements, uncorrected**: 2.602 eV per atom
**Uncorrected energy**: -2.26 eV per atom

Structure (POSCAR):
```
CsTe2IrN
1.0
6.162 0.000 0.000
0.000 6.162 0.000
0.000 0.000 4.058
Te N Cs Ir
2 1 1 1
Direct
0.000 0.500 0.000
0.500 0.000 0.000
0.000 0.000 0.500
0.000 0.000 0.000
0.500 0.500 0.500
```

---

[3]
First-principles (PBE) data for Cu2AgSbC after structural relaxation, as listed in the Alexandria database.

Output
**Magnetization**: 1.03 μB/cell
**Energy relative to the elements, uncorrected**: 2.047 eV per atom
**Uncorrected energy**: -2.83 eV per atom

Structure (POSCAR):
```
Cu2AgSbC
1.0
-0.634 -2.919 3.672
1.695 -3.934 -2.835
4.423 0.862 1.448
Ag Cu Sb C
1 2 1 1
Direct
0.000 0.000 0.000
0.000 0.000 0.500
0.500 0.000 0.000
0.000 0.500 0.000
0.500 0.500 0.500
```

---

[4]
First-principles (PBE) data for CeSm4Tm10 after structural relaxation, as listed in the Alexandria database.

Output
**Magnetization**: 1.02 μB/cell
**ΔH_f (0 K)**: 0.45 eV/atom
**Uncorrected energy**: -4.18 eV per atom

Structure (POSCAR):
```
CeSm4Tm10
1.0
1.773 5.999 8.471
-5.060 0.880 6.981
4.156 -2.246 7.266
Tm Sm Ce
10 4 1
Direct
0.956 0.087 0.336
0.250 0.500 0.500
0.750 0.500 0.500
0.044 0.913 0.664
0.293 0.664 0.087
0.044 0.336 0.913
0.380 0.913 0.664
0.707 0.336 0.913
0.956 0.664 0.087
0.620 0.087 0.336
0.220 0.231 0.330
0.451 0.330 0.769
0.780 0.769 0.670
0.549 0.670 0.231
0.000 0.000 0.000
```

---

[5]
First-principles (PBE) data for V2PN after structural relaxation, as listed in the Alexandria database.

Output
**Excess energy over the best structure of this formula in the dataset**: 0 meV/atom
**Magnetization**: 0.00 μB/cell
**Energy relative to the elements, uncorrected**: -0.807 eV per atom
**Uncorrected energy**: -8.80 eV per atom

Structure (POSCAR):
```
V2PN
1.0
3.015 0.000 0.000
1.508 2.611 0.000
1.508 0.870 5.690
V N P
2 1 1
Direct
0.773 0.773 0.680
0.227 0.227 0.320
0.500 0.500 0.500
0.000 0.000 0.000
```

---

[6]
First-principles (PBE) data for Li9Mg4Ag after structural relaxation, as listed in the Alexandria database.

Output
**Magnetization**: 0.00 μB/cell
**ΔH_f (0 K)**: 0.00 eV/atom
**Uncorrected energy**: -1.89 eV per atom

Structure (POSCAR):
```
Li9Mg4Ag
1.0
-8.980 2.333 0.754
-2.171 -8.488 0.402
1.768 4.427 7.362
Mg Li Ag
8 18 2
Direct
0.500 0.000 0.000
0.750 0.882 0.118
0.000 0.000 0.000
0.250 0.118 0.236
0.250 0.764 0.882
0.250 0.118 0.882
0.750 0.882 0.764
0.750 0.236 0.118
0.750 0.936 0.468
0.750 0.532 0.468
0.750 0.532 0.064
0.550 0.593 0.797
0.050 0.797 0.593
0.950 0.593 0.797
0.450 0.797 0.203
0.450 0.407 0.203
0.950 0.203 0.797
0.250 0.468 0.532
0.550 0.203 0.407
0.250 0.468 0.936
0.550 0.203 0.797
0.250 0.064 0.532
0.050 0.797 0.203
0.450 0.797 0.593
0.050 0.407 0.203
0.950 0.203 0.407
0.750 0.333 0.667
0.250 0.667 0.333
```

---

[7]
First-principles (PBE) data for Y2MgTlC after structural relaxation, as listed in the Alexandria database.

Output
**Magnetization**: 0.00 μB/cell
**ΔH_f (0 K)**: -0.30 eV/atom
**Uncorrected energy**: -5.53 eV per atom

Structure (POSCAR):
```
Y2MgTlC
1.0
-2.752 -2.607 3.205
3.047 -3.881 -0.540
2.507 1.499 3.372
Y Mg C Tl
2 1 1 1
Direct
0.500 0.000 0.000
0.000 0.500 0.000
0.000 0.000 0.500
0.000 0.000 0.000
0.500 0.500 0.500
```

---

[8]
First-principles (PBE) data for TmScTl2 after structural relaxation, as listed in the Alexandria database.

Output
**Magnetization**: 0.00 μB/cell
**ΔH_f (0 K)**: -0.02 eV/atom
**Uncorrected energy**: -3.90 eV per atom

Structure (POSCAR):
```
TmScTl2
1.0
4.691 0.000 0.000
2.346 4.063 0.000
2.346 1.354 6.068
Tl Sc Tm
2 1 1
Direct
0.073 0.073 0.782
0.264 0.264 0.208
0.678 0.678 0.967
0.485 0.485 0.544
```

---

[9]
First-principles (PBE) data for Cr2ReNi after structural relaxation, as listed in the Alexandria database.

Output
**Magnetization**: 0.00 μB/cell
**ΔH_f (0 K)**: 0.12 eV/atom
**Uncorrected energy**: -9.24 eV per atom

Structure (POSCAR):
```
Cr2ReNi
1.0
-1.977 -2.952 -2.121
-0.081 -1.423 2.057
-4.259 1.497 1.887
Ni Cr Re
1 2 1
Direct
0.500 0.250 0.250
0.000 0.960 0.014
0.000 0.540 0.486
0.500 0.750 0.750
```

---

[10]
First-principles (PBE) data for NaNiP2 after structural relaxation, as listed in the Alexandria database.

Output
**Excess energy over the best structure of this formula in the dataset**: 0 meV/atom
**Magnetization**: 0.00 μB/cell
**ΔH_f (0 K)**: -0.31 eV/atom
**Uncorrected energy**: -4.79 eV per atom

Structure (POSCAR):
```
NaNiP2
1.0
3.634 0.000 0.000
1.817 3.147 0.000
1.817 1.049 6.034
P Na Ni
2 1 1
Direct
0.285 0.285 0.146
0.049 0.049 0.853
0.498 0.498 0.506
0.668 0.668 0.995
```

---

[11]
First-principles (PBE) data for Ho2PaWN6 after structural relaxation, as listed in the Alexandria database.

Output
**Magnetization**: 0.00 μB/cell
**Energy relative to the elements, uncorrected**: -1.079 eV per atom
**Uncorrected energy**: -9.23 eV per atom

Structure (POSCAR):
```
Ho2PaWN6
1.0
5.743 0.000 0.000
2.872 4.973 0.000
2.872 1.657 4.849
N Ho W Pa
6 2 1 1
Direct
0.445 0.672 0.765
0.118 0.445 0.765
0.985 0.577 0.257
0.181 0.985 0.257
0.672 0.118 0.765
0.577 0.181 0.257
0.036 0.036 0.891
0.533 0.533 0.400
0.307 0.307 0.079
0.807 0.807 0.579
```

---

[12]
First-principles (PBE) data for AcAgH2O4 after structural relaxation, as listed in the Alexandria database.

Output
**Magnetization**: 0.00 μB/cell
**Uncorrected energy**: -5.52 eV per atom

Structure (POSCAR):
```
AcAgH2O4
1.0
5.061 0.000 0.000
2.530 4.399 0.178
2.530 0.538 4.370
Ac O Ag H
1 4 1 2
Direct
0.000 0.000 0.000
0.591 0.597 0.802
0.409 0.198 0.403
0.990 0.403 0.198
0.010 0.802 0.597
0.500 0.500 0.500
0.809 0.691 0.691
0.191 0.309 0.309
```